(1)
Here is a geometry-optimized VTcW2 structure from Alexandria. Energies are from PBE-GGA.

The value obtained for the total energy is -0.8412 Ry/atom. The formation energy is -0.0978 eV per atom. The calculation puts the mass density at 14.3 g/cm³. The offset from the most stable computed form comes out at 0 meV/atom.

Cell lengths 3.1011, 3.1011, 6.2511 Å; angles 90.00, 90.00, 90.00 degrees
Atoms (fractional coordinates):
V: 0.0000 0.0000 0.0000
Tc: 0.0000 0.0000 0.5000
W: 0.5000 0.5000 0.2422
W: 0.5000 0.5000 0.7578

(2)
Here is a geometry-optimized VTc3W2 structure from Alexandria. Energies are from PBE-GGA.

The value obtained for the total energy is -0.8173 Ry/atom. The formation energy is -0.0990 eV per atom. The calculation puts the mass density at 13.2 g/cm³.

Cell lengths 3.0944, 3.0944, 9.3420 Å; angles 90.00, 90.00, 90.00 degrees
Atoms (fractional coordinates):
V: 0.0000 0.0000 0.0000
Tc: 0.5000 0.5000 0.1590
Tc: 0.5000 0.5000 0.5000
Tc: 0.5000 0.5000 0.8410
W: 0.0000 0.0000 0.3266
W: 0.0000 0.0000 0.6734

(3)
Here is a geometry-optimized V2TcW2 structure from Alexandria. Energies are from PBE-GGA.

The value obtained for the total energy is -0.7681 Ry/atom. The formation energy is 0.4511 eV per atom. The calculation puts the mass density at 11.5 g/cm³. The offset from the most stable computed form comes out at 609 meV/atom.

Cell lengths 6.4359, 6.4359, 8.6662 Å; angles 90.00, 90.00, 152.91 degrees
Atoms (fractional coordinates):
V: 0.9999 0.0001 0.0000
V: 0.0001 0.9999 0.5000
V: 0.1485 0.8515 0.7481
V: 0.8515 0.1485 0.2481
Tc: 0.3362 0.6638 0.0051
Tc: 0.6638 0.3362 0.5051
W: 0.1477 0.8523 0.2503
W: 0.3336 0.6664 0.4944
W: 0.6664 0.3336 0.9944
W: 0.8523 0.1477 0.7503

(4)
Here is a geometry-optimized V7Tc3W2 structure from Alexandria. Energies are from PBE-GGA.

The value obtained for the total energy is -0.7247 Ry/atom. The formation energy is 0.2092 eV per atom. The calculation puts the mass density at 9.1 g/cm³.

Cell lengths 10.5185, 10.5185, 4.2198 Å; angles 90.00, 90.00, 156.67 degrees
Atoms (fractional coordinates):
V: 0.0000 0.0000 0.0000
V: 0.0732 0.9268 0.5000
V: 0.2848 0.7152 0.0000
V: 0.4282 0.5718 0.0000
V: 0.5718 0.4282 0.0000
V: 0.7152 0.2848 0.0000
V: 0.9268 0.0732 0.5000
Tc: 0.3509 0.6491 0.5000
Tc: 0.5000 0.5000 0.5000
Tc: 0.6491 0.3509 0.5000
W: 0.1462 0.8538 0.0000
W: 0.8538 0.1462 0.0000

(5)
Here is a geometry-optimized V2TcW structure from Alexandria. Energies are from PBE-GGA.

The value obtained for the total energy is -0.7449 Ry/atom. The formation energy is 0.2545 eV per atom. The calculation puts the mass density at 10.6 g/cm³.

Cell lengths 3.0238, 2.9698, 13.3878 Å; angles 90.00, 90.00, 90.00 degrees
Atoms (fractional coordinates):
V: 0.0000 0.0000 0.0000
V: 0.0000 0.0000 0.2235
V: 0.0000 0.5000 0.5000
V: 0.0000 0.5000 0.7235
Tc: 0.5000 0.0000 0.6134
Tc: 0.5000 0.5000 0.1134
W: 0.5000 0.0000 0.3752
W: 0.5000 0.5000 0.8752

(6)
Here is a geometry-optimized V6TcW2 structure from Alexandria. Energies are from PBE-GGA.

The value obtained for the total energy is -0.7497 Ry/atom. The formation energy is -0.0905 eV per atom. The calculation puts the mass density at 10.0 g/cm³. The offset from the most stable computed form comes out at 0 meV/atom.

Cell lengths 2.6899, 2.6899, 19.0273 Å; angles 92.38, 92.38, 111.01 degrees
Atoms (fractional coordinates):
V: 0.0533 0.0533 0.1088
V: 0.2773 0.2773 0.5531
V: 0.3945 0.3945 0.7839
V: 0.6055 0.6055 0.2161
V: 0.7227 0.7227 0.4469
V: 0.9467 0.9467 0.8912
Tc: 0.5000 0.5000 0.0000
W: 0.1636 0.1636 0.3314
W: 0.8364 0.8364 0.6686

(7)
Here is a geometry-optimized V3TcW structure from Alexandria. Energies are from PBE-GGA.

The value obtained for the total energy is -0.6237 Ry/atom. The formation energy is 1.6497 eV per atom. The calculation puts the mass density at 7.6 g/cm³. The offset from the most stable computed form comes out at 1578 meV/atom.

Cell lengths 4.5656, 4.5656, 4.5656 Å; angles 90.00, 90.00, 90.00 degrees
Atoms (fractional coordinates):
V: 0.0000 0.0000 0.5000
V: 0.0000 0.5000 0.0000
V: 0.5000 0.0000 0.0000
Tc: 0.5000 0.5000 0.5000
W: 0.0000 0.0000 0.0000

(8)
Here is a geometry-optimized VTc2W structure from Alexandria. Energies are from PBE-GGA.

The value obtained for the total energy is -0.7998 Ry/atom. The formation energy is -0.1809 eV per atom. The calculation puts the mass density at 12.2 g/cm³.

Cell lengths 3.0769, 3.0769, 6.1860 Å; angles 90.00, 90.00, 90.00 degrees
Atoms (fractional coordinates):
V: 0.0000 0.0000 0.0000
Tc: 0.5000 0.5000 0.2406
Tc: 0.5000 0.5000 0.7594
W: 0.0000 0.0000 0.5000